The following is a PBE with a Hubbard U calculation of a geometry-optimized Y2CrSiO6 structure, from the Alexandria database.

Cell: 5.296 5.296 4.380 Å, 90.00 90.00 90.00°
Positions (direct):
Y: 0.000 0.500 0.000
Y: 0.500 0.000 0.000
Cr: 0.000 0.000 0.581
Si: 0.500 0.500 0.594
O: 0.000 0.000 0.115
O: 0.275 0.275 0.699
O: 0.275 0.725 0.699
O: 0.500 0.500 0.214
O: 0.725 0.275 0.699
O: 0.725 0.725 0.699

- E: -8.260 eV/atom